Record 1
A geometry-optimized LuS2 structure, computed with GGA-PBEsol.

Lattice parameters (Å, degrees): 3.7397 3.7397 7.6798 90.00 90.00 90.00
Closest atoms and distances in Å follow each position.
Fractional positions:
Lu: 0.2500 0.2500 0.2274  9 S 2.75-2.81
Lu: 0.7500 0.7500 0.7726  9 S 2.75-2.81
S: 0.2500 0.2500 0.8691  5 Lu 2.75
S: 0.2500 0.7500 0.5000  4 S 2.64, 4 Lu 2.81
S: 0.7500 0.2500 0.5000  4 S 2.64, 4 Lu 2.81
S: 0.7500 0.7500 0.1309  5 Lu 2.75

Output
Energy relative to the elements, uncorrected (eV per atom): -1.732



Record 2
A geometry-optimized TlAuCl structure, computed with GGA-PBEsol.

Lattice parameters (Å, degrees): 6.0326 6.0326 6.0326 146.66 146.66 47.87
Closest atoms and distances in Å follow each position.
Fractional positions:
Tl: 0.0000 0.0000 0.0000  4 Au 2.94
Au: 0.3529 0.3529 0.0000  4 Tl 2.94, 4 Cl 2.97
Cl: 0.7002 0.7002 0.0000  4 Au 2.97, 5 Tl 3.30-3.31

Output
Energy relative to the elements, uncorrected (eV per atom): -0.057



Record 3
A geometry-optimized LaIn2MoRh structure, computed with GGA-PBEsol.

Lattice parameters (Å, degrees): 5.1571 5.1571 4.9738 90.00 90.00 90.00
Closest atoms and distances in Å follow each position.
Fractional positions:
La: 0.0000 0.0000 0.0000  2 Mo 2.49
In: 0.0000 0.5000 0.5000  2 Mo 2.58
In: 0.5000 0.0000 0.5000  2 Mo 2.58
Mo: 0.0000 0.0000 0.5000  2 La 2.49, 4 In 2.58
Rh: 0.5000 0.5000 0.0000  8 In 3.58, 4 La 3.65

Output
Calculated formation energy (eV per atom): 0.860



Record 4
A geometry-optimized Ni2RhAu structure, computed with GGA-PBEsol.

Lattice parameters (Å, degrees): 2.6962 3.5267 5.4431 90.00 90.00 90.00
Closest atoms and distances in Å follow each position.
Fractional positions:
Ni: 0.0000 0.0000 0.2294  3 Ni 2.50-2.70, 4 Rh 2.55, 4 Au 2.66
Ni: 0.0000 0.0000 0.7706  3 Ni 2.50-2.70, 4 Rh 2.55, 4 Au 2.66
Rh: 0.5000 0.5000 0.0000  8 Ni 2.55, 2 Rh 2.70, 2 Au 2.72
Au: 0.5000 0.5000 0.5000  8 Ni 2.66, 2 Au 2.70, 2 Rh 2.72

Output
Calculated formation energy (eV per atom): 0.091



Record 5
A geometry-optimized SbTe2PbI structure, computed with GGA-PBEsol.

Lattice parameters (Å, degrees): 5.7250 5.7250 5.6893 90.00 90.00 90.00
Closest atoms and distances in Å follow each position.
Fractional positions:
Sb: 0.0000 0.0000 0.0000  2 I 2.84, 4 Te 2.86
Te: 0.0000 0.5000 0.0000  2 Sb 2.86
Te: 0.5000 0.0000 0.0000  2 Sb 2.86
Pb: 0.5000 0.5000 0.5000  8 Te 4.04, 4 I 4.05
I: 0.0000 0.0000 0.5000  2 Sb 2.84

Output
Energy relative to the elements, uncorrected (eV per atom): 0.225



Record 6
A geometry-optimized Sr2PtPb structure, computed with GGA-PBEsol.

Lattice parameters (Å, degrees): 3.6012 3.6012 8.6345 90.00 90.00 90.00
Closest atoms and distances in Å follow each position.
Fractional positions:
Sr: 0.0000 0.0000 0.2095  4 Pt 3.12
Sr: 0.0000 0.0000 0.7905  4 Pt 3.12
Pt: 0.5000 0.5000 0.0000  8 Sr 3.12
Pb: 0.5000 0.5000 0.5000  8 Sr 3.57, 4 Pb 3.60

Output
Calculated formation energy (eV per atom): -0.606



Record 7
A geometry-optimized BaBe2P2 structure, computed with GGA-PBEsol.

Lattice parameters (Å, degrees): 6.8780 6.8780 6.8780 148.56 148.56 45.06
Closest atoms and distances in Å follow each position.
Fractional positions:
Ba: 0.0000 0.0000 0.0000  8 P 3.27
Be: 0.2500 0.7500 0.5000  4 P 2.24
Be: 0.7500 0.2500 0.5000  4 P 2.24
P: 0.3474 0.3474 0.0000  4 Be 2.24
P: 0.6526 0.6526 0.0000  4 Be 2.24

Output
Calculated formation energy (eV per atom): -0.720



Record 8
A geometry-optimized CdPtNF2 structure, computed with GGA-PBEsol.

Lattice parameters (Å, degrees): 4.4649 4.4649 3.6709 90.00 90.00 90.00
Closest atoms and distances in Å follow each position.
Fractional positions:
Cd: 0.0000 0.0000 0.0000  8 F 2.89, 4 N 3.16
Pt: 0.5000 0.5000 0.5000  2 N 1.84
N: 0.5000 0.5000 0.0000  2 Pt 1.84
F: 0.0000 0.5000 0.5000  2 Pt 2.23
F: 0.5000 0.0000 0.5000  2 Pt 2.23

Output
Energy relative to the elements, uncorrected (eV per atom): -0.239